1.
An optimized crystal structure of BaSr2N2. Source: Alexandria, functional PBE.

Lattice parameters (Å, degrees): 4.881 4.881 6.321 67.29 67.29 90.00
Positions (direct):
N  0.750  0.250  0.500
N  0.250  0.750  0.500
Sr  0.681  0.681  0.638
Sr  0.319  0.319  0.362
Ba  0.000  0.000  0.000

Computed properties:
Uncorrected formation energy: -0.04 eV/atom
SG: I4/mmm, No. 139

2.
An optimized crystal structure of Ba3SrN. Source: Alexandria, functional PBE.

Lattice parameters (Å, degrees): 7.392 8.157 9.184 90.00 90.00 90.91
Positions (direct):
Ba  0.247  0.817  0.026
Ba  0.247  0.817  0.474
Ba  0.759  0.614  0.750
Ba  0.241  0.386  0.250
Ba  0.753  0.183  0.526
Ba  0.753  0.183  0.974
Sr  0.682  0.677  0.250
Sr  0.318  0.323  0.750
N  0.642  0.324  0.750
N  0.358  0.676  0.250

Computed properties:
Uncorrected formation energy: -0.24 eV/atom
SG: P2_1/m, No. 11

3.
An optimized crystal structure of Ba2SrN. Source: Alexandria, functional PBE.

Lattice parameters (Å, degrees): 8.393 8.393 8.144 58.98 58.98 90.00
Positions (direct):
Ba  0.875  0.706  0.750
Ba  0.456  0.125  0.250
Ba  0.294  0.625  0.250
Ba  0.375  0.544  0.750
Sr  0.000  0.000  0.000
Sr  0.750  0.250  0.500
N  0.500  0.500  0.000
N  0.250  0.750  0.500

Computed properties:
Uncorrected formation energy: -0.01 eV/atom
SG: I-42d, No. 122

4.
An optimized crystal structure of BaSrN. Source: Alexandria, functional PBE.

Lattice parameters (Å, degrees): 7.631 7.631 7.631 30.06 30.06 30.06
Positions (direct):
Ba  0.734  0.734  0.734
Sr  0.268  0.268  0.268
N  0.998  0.998  0.998

Computed properties:
Uncorrected formation energy: -0.46 eV/atom
SG: R3m, No. 160